Entry 1:
First-principles (PBE-GGA) data for a geometry-optimized RbI4 structure, as listed in Alexandria via LeMat-Bulk. Values from VASP.

Formation energy without anion corrections (kcal/mol of atoms): -13.7
E above lowest polymorph (eV/f.u.): 0.00
Magnetization (μB per cell): 0.0
Fermi-level density of states (states/eV per cell): 2.6
Total energy (eV for the cell shown): -20.29

The structure in Quantum ESPRESSO input format:
```
&SYSTEM
  ibrav = 0, nat = 10, ntyp = 2
/
ATOMIC_SPECIES
Rb 85.47 Rb.upf
I 126.90 I.upf
ATOMIC_POSITIONS crystal
Rb 0.0000 0.0000 0.0000
Rb 0.4984 0.0005 0.5004
I 0.0690 0.7602 0.5501
I 0.1653 0.2529 0.1977
I 0.1892 0.2452 0.7001
I 0.3370 0.7106 0.3121
I 0.5704 0.7597 0.0507
I 0.6680 0.2440 0.1948
I 0.6869 0.2530 0.6928
I 0.8366 0.7106 0.8119
CELL_PARAMETERS angstrom
6.1301 0.0000 0.0000
1.7930 9.3645 0.0000
0.0119 2.4720 10.0405
```

***

Entry 2:
First-principles (PBE-GGA) data for a geometry-optimized Rb6I5 structure, as listed in Alexandria via LeMat-Bulk. Values from VASP.

Formation energy without anion corrections (kcal/mol of atoms): -30.6
Magnetization (μB per cell): 0.8
Fermi-level density of states (states/eV per cell): 3.0
Total energy (eV for the cell shown): -28.14

The structure in Quantum ESPRESSO input format:
```
&SYSTEM
  ibrav = 0, nat = 11, ntyp = 2
/
ATOMIC_SPECIES
Rb 85.47 Rb.upf
I 126.90 I.upf
ATOMIC_POSITIONS crystal
Rb 0.0836 0.4161 0.7501
Rb 0.2493 0.2493 0.2510
Rb 0.4161 0.0836 0.7501
Rb 0.5839 0.9164 0.2499
Rb 0.7507 0.7507 0.7490
Rb 0.9164 0.5839 0.2499
I 0.1664 0.8336 0.0000
I 0.3330 0.6670 0.5000
I 0.5000 0.5000 0.0000
I 0.6670 0.3330 0.5000
I 0.8336 0.1664 0.0000
CELL_PARAMETERS angstrom
4.5727 -7.9050 0.0000
4.5727 7.9050 0.0000
-3.0323 0.0000 8.6538
```

***

Entry 3:
First-principles (PBE-GGA) data for a geometry-optimized Rb2I3 structure, as listed in Alexandria via LeMat-Bulk. Values from VASP.

Formation energy without anion corrections (kcal/mol of atoms): -19.7
Magnetization (μB per cell): 1.0
Fermi-level density of states (states/eV per cell): 13.4
Total energy (eV for the cell shown): -10.85

The structure in Quantum ESPRESSO input format:
```
&SYSTEM
  ibrav = 0, nat = 5, ntyp = 2
/
ATOMIC_SPECIES
Rb 85.47 Rb.upf
I 126.90 I.upf
ATOMIC_POSITIONS crystal
Rb 0.0000 0.0000 0.0000
Rb 0.5000 0.5000 0.5000
I 0.0000 0.0000 0.5000
I 0.0000 0.5000 0.0000
I 0.5000 0.0000 0.0000
CELL_PARAMETERS angstrom
6.8999 0.0000 0.0000
0.0000 6.8999 0.0000
0.0000 0.0000 6.8999
```